[1]
A relaxed Ca3Ho3PuTe8 crystal. Source: Alexandria via LeMat-Bulk, functional PBE-GGA.

Values from the calculation:
As for the total magnetization: 5.77 μB/f.u. Its electronic total energy is -80.3 eV/f.u. The uncorrected formation energy is -1.409 eV/atom.

Cell lengths 8.7690, 8.7690, 21.9306 Å; angles 90.00, 90.00, 120.00 degrees
Last column: nearest neighbours and their distance in Å.
Space group R-3m (No. 166, hexagonal axes)
Asymmetric unit:
Ca1 0.0000 0.5000 0.0000  6 Te 3.15-3.17
Ho1 0.0000 0.5000 0.5000  6 Te 3.08-3.09
Pu1 0.0000 0.0000 0.5000  6 Te 3.18
Te1 0.0000 0.0000 0.2476  3 Ho 3.09, 3 Ca 3.15
Te2 0.0111 0.5056 0.7509  2 Ho 3.08, 2 Ca 3.17, 1 Pu 3.18



[2]
A relaxed Ca4Ho3PuTe8 crystal. Source: Alexandria via LeMat-Bulk, functional PBE-GGA.

Values from the calculation:
As for the total magnetization: 6.19 μB/f.u. Its electronic total energy is -83.8 eV/f.u. The uncorrected formation energy is -1.413 eV/atom.

Cell lengths 8.8111, 8.8111, 21.9589 Å; angles 90.00, 90.00, 120.00 degrees
Last column: nearest neighbours and their distance in Å.
Space group R-3m (No. 166, hexagonal axes)
Asymmetric unit:
Ca1 0.0000 0.0000 0.0000  6 Te 3.12
Ca2 0.0000 0.5000 0.0000  6 Te 3.16-3.17
Ho1 0.0000 0.5000 0.5000  6 Te 3.10
Pu1 0.0000 0.0000 0.5000  6 Te 3.14
Te1 0.0000 0.0000 0.2476  3 Ho 3.10, 3 Ca 3.16
Te2 0.0046 0.5023 0.7514  2 Ho 3.10, 3 Ca 3.12-3.17, 1 Pu 3.14



[3]
A relaxed Ca3HoPu2Te6 crystal. Source: Alexandria via LeMat-Bulk, functional PBE-GGA.

Values from the calculation:
As for the total magnetization: 12.19 μB/f.u. Its electronic total energy is -74.5 eV/f.u. The uncorrected formation energy is -1.367 eV/atom.

Cell lengths 19.5046, 4.4420, 8.9689 Å; angles 90.00, 103.91, 90.00 degrees
Last column: nearest neighbours and their distance in Å.
Space group C2/m (No. 12)
Asymmetric unit:
Ca1 0.0000 0.0000 0.0000  6 Te 3.14-3.20
Ca2 0.1680 0.5000 0.3323  6 Te 3.15-3.19
Ho1 0.0000 0.0000 0.5000  6 Te 3.10-3.11
Pu1 0.1668 0.5000 0.8328  6 Te 3.16-3.18
Te1 0.0009 0.5000 0.2571  2 Ho 3.11, 3 Ca 3.17-3.20, 1 Pu 3.18
Te2 0.1636 0.0000 0.5799  1 Ho 3.10, 3 Ca 3.16-3.19, 2 Pu 3.16
Te3 0.1660 0.0000 0.0824  3 Ca 3.14-3.15, 3 Pu 3.16



[4]
A relaxed Rb3CaHo2S6 crystal. Source: Alexandria via LeMat-Bulk, functional PBE-GGA.

Values from the calculation:
As for the total magnetization: 0.00 μB/f.u. Its electronic total energy is -58.8 eV/f.u. The uncorrected formation energy is -1.663 eV/atom.

Cell lengths 7.1055, 12.3078, 8.0401 Å; angles 90.00, 107.13, 90.00 degrees
Last column: nearest neighbours and their distance in Å.
Space group C2/m (No. 12)
Asymmetric unit:
Rb1 0.0000 0.0000 0.0000  6 S 3.29-3.37
Rb2 0.0000 0.3363 0.0000  6 S 3.30-3.37
Ca1 0.0000 0.5000 0.5000  6 S 2.86-2.87
Ho1 0.0000 0.1669 0.5000  6 S 2.76
S1 0.2187 0.0000 0.6922  2 Ho 2.76, 1 Ca 2.86
S2 0.2372 0.3272 0.6932  2 Ho 2.76, 1 Ca 2.87



[5]
A relaxed Rb3CaHo2Te6 crystal. Source: Alexandria via LeMat-Bulk, functional PBE-GGA.

Values from the calculation:
As for the total magnetization: 0.00 μB/f.u. Its electronic total energy is -48.4 eV/f.u. The uncorrected formation energy is -1.288 eV/atom.

Cell lengths 7.8267, 13.5578, 9.0314 Å; angles 90.00, 106.78, 90.00 degrees
Last column: nearest neighbours and their distance in Å.
Space group C2/m (No. 12)
Asymmetric unit:
Rb1 0.0000 0.0000 0.0000  6 Te 3.62-3.70
Rb2 0.0000 0.3364 0.0000  6 Te 3.64-3.71
Ca1 0.0000 0.5000 0.5000  6 Te 3.20
Ho1 0.0000 0.1670 0.5000  6 Te 3.10
Te1 0.2227 0.0000 0.6998  2 Ho 3.10, 1 Ca 3.20
Te2 0.2390 0.3280 0.7008  2 Ho 3.10, 1 Ca 3.20



[6]
A relaxed CaHoRe4 crystal. Source: Alexandria via LeMat-Bulk, functional PBE-GGA.

Values from the calculation:
As for the total magnetization: 0.00 μB/f.u. Its electronic total energy is -56.4 eV/f.u. The value obtained for the calculated formation energy is -0.0002 eV per atom.

Cell lengths 7.6526, 7.6526, 7.6526 Å; angles 90.00, 90.00, 90.00 degrees
Last column: nearest neighbours and their distance in Å.
Space group F-43m (No. 216)
Asymmetric unit:
Ca1 0.0000 0.0000 0.0000  12 Re 3.17, 4 Ho 3.31
Ho1 0.2500 0.2500 0.7500  12 Re 3.17, 4 Ca 3.31
Re1 0.1250 0.1250 0.3750  6 Re 2.71



[7]
A relaxed CaHoRh crystal. Source: Alexandria via LeMat-Bulk, functional PBE-GGA.

Values from the calculation:
As for the total magnetization: 0.00 μB/f.u. Its electronic total energy is -15.3 eV/f.u. The value obtained for the calculated formation energy is -0.4547 eV per atom. For the offset from the most stable computed form, the calculation gives 47 meV per atom.

Cell lengths 6.8077, 6.8077, 6.8077 Å; angles 90.00, 90.00, 90.00 degrees
Last column: nearest neighbours and their distance in Å.
Space group F-43m (No. 216)
Asymmetric unit:
Ca1 0.0000 0.0000 0.0000  4 Rh 2.95
Ho1 0.0000 0.0000 0.5000  4 Rh 2.95
Rh1 0.2500 0.2500 0.2500  4 Ho 2.95, 4 Ca 2.95



[8]
A relaxed CaHo2Rh2 crystal. Source: Alexandria via LeMat-Bulk, functional PBE-GGA.

Values from the calculation:
As for the total magnetization: 0.00 μB/f.u. Its electronic total energy is -28.9 eV/f.u. The value obtained for the calculated formation energy is -0.6012 eV per atom.

Cell lengths 4.9082, 4.9082, 5.7038 Å; angles 90.00, 90.00, 120.00 degrees
Last column: nearest neighbours and their distance in Å.
Space group P-3m1 (No. 164)
Asymmetric unit:
Ca1 0.0000 0.0000 0.0000  6 Rh 3.02
Ho1 0.3333 0.6667 0.3254  5 Rh 2.81-2.95
Rh1 0.3333 0.6667 0.8179  5 Ho 2.81-2.95, 3 Ca 3.02



[9]
A relaxed CaHo3Rh8 crystal. Source: Alexandria via LeMat-Bulk, functional PBE-GGA.

Values from the calculation:
As for the total magnetization: 0.00 μB/f.u. Its electronic total energy is -82.7 eV/f.u. The value obtained for the calculated formation energy is -0.6835 eV per atom.

Cell lengths 5.3253, 5.3253, 26.1653 Å; angles 90.00, 90.00, 120.00 degrees
Last column: nearest neighbours and their distance in Å.
Space group R3m (No. 160, hexagonal axes)
Asymmetric unit:
Ca1 0.0000 0.0000 0.0000  12 Rh 3.12-3.14, 4 Ho 3.24-3.25
Ho1 0.0000 0.0000 0.1241  12 Rh 3.09-3.14, 1 Ca 3.25, 3 Ho 3.28
Ho2 0.0000 0.0000 0.5008  12 Rh 3.11-3.12, 4 Ho 3.28-3.31
Ho3 0.0000 0.0000 0.6272  12 Rh 3.11-3.16, 3 Ca 3.24, 1 Ho 3.31
Rh1 0.0000 0.0000 0.3130  6 Rh 2.68
Rh2 0.0000 0.0000 0.8130  6 Rh 2.65
Rh3 0.0012 0.5006 0.0638  6 Rh 2.65-2.68
Rh4 0.1673 0.3346 0.8955  6 Rh 2.65-2.68



[10]
A relaxed CaHoRh crystal. Source: Alexandria via LeMat-Bulk, functional PBE-GGA.

Values from the calculation:
As for the total magnetization: 0.00 μB/f.u. Its electronic total energy is -15.4 eV/f.u. The value obtained for the calculated formation energy is -0.5021 eV per atom. For the offset from the most stable computed form, the calculation gives 0 meV per atom.

Cell lengths 3.4348, 3.4348, 13.1383 Å; angles 90.00, 90.00, 90.00 degrees
Last column: nearest neighbours and their distance in Å.
Space group I4mm (No. 107)
Asymmetric unit:
Ca1 0.0000 0.0000 0.0000  4 Rh 3.08, 1 Ho 3.37, 4 Ca 3.43
Ho1 0.0000 0.0000 0.2566  4 Rh 2.84
Rh1 0.0000 0.0000 0.6446  4 Ho 2.84, 4 Ca 3.08



[11]
A relaxed CaHoRh2 crystal. Source: Alexandria via LeMat-Bulk, functional PBE-GGA.

Values from the calculation:
As for the total magnetization: 0.00 μB/f.u. Its electronic total energy is -23.9 eV/f.u. The value obtained for the calculated formation energy is -0.6665 eV per atom. For the offset from the most stable computed form, the calculation gives 0 meV per atom.

Cell lengths 3.4082, 3.4082, 6.8966 Å; angles 90.00, 90.00, 90.00 degrees
Last column: nearest neighbours and their distance in Å.
Space group P4/mmm (No. 123)
Asymmetric unit:
Ca1 0.0000 0.0000 0.0000  8 Rh 3.04
Ho1 0.0000 0.0000 0.5000  8 Rh 2.89
Rh1 0.5000 0.5000 0.2681  4 Ho 2.89, 4 Ca 3.04, 1 Rh 3.20



[12]
A relaxed CaHo4Rh4 crystal. Source: Alexandria via LeMat-Bulk, functional PBE-GGA.

Values from the calculation:
As for the total magnetization: 0.00 μB/f.u. Its electronic total energy is -55.2 eV/f.u. The value obtained for the calculated formation energy is -0.6099 eV per atom.

Cell lengths 8.8662, 8.8662, 5.5618 Å; angles 90.00, 90.00, 90.00 degrees
Last column: nearest neighbours and their distance in Å.
Space group P4_2/n (No. 86, origin choice 2)
Asymmetric unit:
Ca1 0.2500 0.2500 0.2500  4 Rh 2.84
Ho1 0.0758 0.6585 0.1552  5 Rh 2.73-2.90
Rh1 0.0370 0.6201 0.6549  5 Ho 2.73-2.90, 1 Rh 2.82, 1 Ca 2.84



Question: Among the records above, which one has the highest electronic total energy?
Answer: number 7